1.
The following is a PBE calculation of a relaxed structure of TbNd6Dy2Er, from Alexandria via LeMat-Bulk.

It has space group C2/c (No. 15), with a = 9.262 Å, b = 15.343 Å, c = 9.659 Å, α = 90.00°, β = 97.47° and γ = 90.00°. Symmetry generates all atoms from Tb at (0.000, 0.027, 0.250), Nd at (0.060, 0.178, 0.946), Nd at (0.099, 0.391, 0.118), Nd at (0.213, 0.222, 0.312), Dy at (0.250, 0.049, 0.546) and Er at (0.000, 0.411, 0.750).

Its energy is -4.5846 eV/atom. As for the density of states at the Fermi level: 1.4194 states/eV per atom. The value obtained for the calculated formation energy is 0.1158 eV per atom.

***

2.
The following is a PBE calculation of a relaxed structure of PuUP, from Alexandria via LeMat-Bulk.

It has space group C2/m (No. 12), with a = 12.017 Å, b = 3.592 Å, c = 5.814 Å, α = 90.00°, β = 113.00° and γ = 90.00°. Symmetry generates all atoms from Pu at (0.031, 0.000, 0.282), U at (0.163, 0.500, 0.213) and P at (0.147, 0.500, 0.702).

Its energy is -11.0021 eV/atom. As for the density of states at the Fermi level: 1.7174 states/eV per atom. The value obtained for the calculated formation energy is -0.6588 eV per atom.

***

3.
The following is a PBE calculation of a relaxed structure of Y3Ge3Rh, from Alexandria via LeMat-Bulk.

It has space group C2/m (No. 12), with a = 10.765 Å, b = 4.286 Å, c = 13.861 Å, α = 90.00°, β = 110.17° and γ = 90.00°. Symmetry generates all atoms from Y at (0.026, 0.000, 0.379), Y at (0.100, 0.000, 0.921), Y at (0.240, 0.000, 0.229), Ge at (0.038, 0.500, 0.237), Ge at (0.124, 0.500, 0.075), Ge at (0.133, 0.500, 0.548) and Rh at (0.243, 0.500, 0.410).

Its energy is -6.7405 eV/atom. As for the density of states at the Fermi level: 0.5741 states/eV per atom. The value obtained for the calculated formation energy is -0.9411 eV per atom.

***

4.
The following is a PBE calculation of a relaxed structure of Pu2Ga3Cu2, from Alexandria via LeMat-Bulk.

It has space group Cmcm (No. 63), with a = 4.358 Å, b = 17.977 Å, c = 6.885 Å, α = 90.00°, β = 90.00° and γ = 90.00°. Symmetry generates all atoms from Pu at (0.000, 0.054, 0.250), Pu at (0.000, 0.157, 0.750), Ga at (0.000, 0.225, 0.250), Ga at (0.000, 0.436, 0.067) and Cu at (0.000, 0.308, 0.564).

Its energy is -6.7637 eV/atom. As for the density of states at the Fermi level: 2.9654 states/eV per atom. The calculation puts the relative energy among the computed polymorphs at 0 meV/atom. The value obtained for the calculated formation energy is -0.2013 eV per atom.

***

5.
The following is a PBE calculation of a relaxed structure of Na2SrEu, from Alexandria via LeMat-Bulk.

It has space group P4/mmm (No. 123), with a = 4.429 Å, b = 4.429 Å, c = 8.945 Å, α = 90.00°, β = 90.00° and γ = 90.00°. Symmetry generates all atoms from Na at (0.000, 0.000, 0.244), Sr at (0.500, 0.500, 0.500) and Eu at (0.500, 0.500, 0.000).

Its energy is -3.5764 eV/atom. As for the density of states at the Fermi level: 0.7205 states/eV per atom. The calculation puts the relative energy among the computed polymorphs at 0 meV/atom. The value obtained for the calculated formation energy is 0.0722 eV per atom.

***

6.
The following is a PBE calculation of a relaxed structure of CeDy3Ho6Th2, from Alexandria via LeMat-Bulk.

It has space group C2/m (No. 12), with a = 6.130 Å, b = 10.613 Å, c = 11.671 Å, α = 90.00°, β = 100.10° and γ = 90.00°. Symmetry generates all atoms from Ce at (0.000, 0.000, 0.000), Dy at (0.000, 0.167, 0.500), Dy at (0.000, 0.500, 0.500), Ho at (0.248, 0.500, 0.247), Ho at (0.250, 0.167, 0.247) and Th at (0.000, 0.333, 0.000).

Its energy is -5.1396 eV/atom. As for the density of states at the Fermi level: 1.6084 states/eV per atom. The value obtained for the calculated formation energy is 0.0309 eV per atom.

***

7.
The following is a PBE calculation of a relaxed structure of ZrAlGa2, from Alexandria via LeMat-Bulk.

It has space group R3m (No. 160, hexagonal axes), with a = 4.0297 Å, b = 4.0297 Å, c = 17.0386 Å, α = 90.00°, β = 90.00° and γ = 120.00°. Symmetry generates all atoms from Zr at (0.0000, 0.0000, 0.0000), Al at (0.0000, 0.0000, 0.1810), Ga at (0.0000, 0.0000, 0.4281) and Ga at (0.0000, 0.0000, 0.5813).

Its energy is -4.7842 eV/atom. As for the density of states at the Fermi level: 0.4879 states/eV per atom. The value obtained for the calculated formation energy is -0.1981 eV per atom.

***

8.
The following is a PBE calculation of a relaxed structure of SiTeN2F, from Alexandria via LeMat-Bulk.

It has space group P4/mmm (No. 123), with a = 3.829 Å, b = 3.829 Å, c = 3.657 Å, α = 90.00°, β = 90.00° and γ = 90.00°. Symmetry generates all atoms from Si at (0.000, 0.000, 0.000), Te at (0.500, 0.500, 0.500), N at (0.000, 0.500, 0.000) and F at (0.000, 0.000, 0.500).

Its energy is -5.4230 eV/atom. The calculation puts the uncorrected formation energy at -5.6 meV per atom. As for the density of states at the Fermi level: 0.4223 states/eV per atom. The calculation puts the relative energy among the computed polymorphs at 0 meV/atom.

***

The lowest energy belongs to which entry? PuUP

***

Copy entry 6 word for word.
The following is a PBE calculation of a relaxed structure of CeDy3Ho6Th2, from Alexandria via LeMat-Bulk.

It has space group C2/m (No. 12), with a = 6.130 Å, b = 10.613 Å, c = 11.671 Å, α = 90.00°, β = 100.10° and γ = 90.00°. Symmetry generates all atoms from Ce at (0.000, 0.000, 0.000), Dy at (0.000, 0.167, 0.500), Dy at (0.000, 0.500, 0.500), Ho at (0.248, 0.500, 0.247), Ho at (0.250, 0.167, 0.247) and Th at (0.000, 0.333, 0.000).

Its energy is -5.1396 eV/atom. As for the density of states at the Fermi level: 1.6084 states/eV per atom. The value obtained for the calculated formation energy is 0.0309 eV per atom.

***

energy of number 7 (ZrAlGa2)? -4.7842 eV/atom

***

energy of number 6 (CeDy3Ho6Th2)? -5.1396 eV/atom